Compound: Ag4TePt
Source: Alexandria via LeMat-Bulk
Functional: GGA-PBEsol
Structure: relaxed

Geometry as extended XYZ:
```
6
Lattice="-3.726 -2.316 3.081 -3.679 -3.217 -2.204 0.173 -5.282 0.902" Properties=species:S:1:pos:R:3 pbc="T T T"
Ag -4.548 -5.663 -0.430
Ag -2.630 -6.692 1.117
Pt -5.424 -8.112 1.334
Ag -4.571 -5.215 2.202
Ag -2.716 -4.061 0.668
Te 0.000 0.000 0.000
```

Output
ΔE_f (raw) = 0.249 eV per atom
Symmetry = No. 216